# GGA-PBE Pr3Ge3Ru, optimized geometry
# - density of states at the Fermi level (states/eV/atom) = 0.75
# - energy of formation (eV per atom) = -0.75
data_Pr3Ge3Ru
_chemical_formula_sum 'Pr12 Ge12 Ru4'
_cell_length_a 11.2859
_cell_length_b 4.4104
_cell_length_c 14.4333
_cell_angle_alpha 90.00
_cell_angle_beta 111.47
_cell_angle_gamma 90.00
_symmetry_space_group_name_H-M 'C 1 2/m 1'
_symmetry_Int_Tables_number 12
loop_
_symmetry_equiv_pos_as_xyz
'x,y,z'
'-x,-y,-z'
'-x,y,-z'
'x,-y,z'
'x+1/2,y+1/2,z'
'-x+1/2,-y+1/2,-z'
'-x+1/2,y+1/2,-z'
'x+1/2,-y+1/2,z'
loop_
_atom_site_label
_atom_site_type_symbol
_atom_site_fract_x
_atom_site_fract_y
_atom_site_fract_z
Pr1 Pr 0.0234 0.0000 0.3777
Pr2 Pr 0.0988 0.0000 0.9193
Pr3 Pr 0.2467 0.0000 0.2302
Ge1 Ge 0.0555 0.5000 0.2420
Ge2 Ge 0.1173 0.5000 0.0742
Ge3 Ge 0.1450 0.5000 0.5456
Ru1 Ru 0.2436 0.5000 0.4160

# GGA-PBE PrScGe2Ru, optimized geometry
# - density of states at the Fermi level (states/eV/atom) = 0.48
# - energy of formation (eV per atom) = -0.75
data_PrScGe2Ru
_chemical_formula_sum 'Pr2 Sc2 Ge4 Ru2'
_cell_length_a 4.1301
_cell_length_b 4.1301
_cell_length_c 11.7893
_cell_angle_alpha 90.00
_cell_angle_beta 90.00
_cell_angle_gamma 90.00
_symmetry_space_group_name_H-M 'I -4 m 2'
_symmetry_Int_Tables_number 119
_symmetry_space_group_name_Hall 'I -4 -2'
loop_
_atom_site_label
_atom_site_type_symbol
_atom_site_fract_x
_atom_site_fract_y
_atom_site_fract_z
Pr1 Pr 0.0000 0.0000 0.0000
Sc1 Sc 0.0000 0.5000 0.2500
Ge1 Ge 0.0000 0.0000 0.3918
Ru1 Ru 0.0000 0.5000 0.7500

# GGA-PBE PrSmGeRu, optimized geometry
# - density of states at the Fermi level (states/eV/atom) = 0.53
# - energy of formation (eV per atom) = -0.54
data_PrSmGeRu
_chemical_formula_sum 'Pr2 Sm2 Ge2 Ru2'
_cell_length_a 3.9350
_cell_length_b 4.3923
_cell_length_c 11.2266
_cell_angle_alpha 90.00
_cell_angle_beta 90.00
_cell_angle_gamma 90.00
_symmetry_space_group_name_H-M 'A m m 2'
_symmetry_Int_Tables_number 38
loop_
_symmetry_equiv_pos_as_xyz
'x,y,z'
'-x,-y,z'
'-x,y,z'
'x,-y,z'
'x,y+1/2,z+1/2'
'-x,-y+1/2,z+1/2'
'-x,y+1/2,z+1/2'
'x,-y+1/2,z+1/2'
loop_
_atom_site_label
_atom_site_type_symbol
_atom_site_fract_x
_atom_site_fract_y
_atom_site_fract_z
Pr1 Pr 0.0000 0.0000 0.0000
Sm1 Sm 0.5000 0.0000 0.7200
Ge1 Ge 0.5000 0.0000 0.4148
Ru1 Ru 0.0000 0.0000 0.2690

# GGA-PBE PrSn2GeRu2, optimized geometry
# - density of states at the Fermi level (states/eV/atom) = 0.95
# - energy of formation (eV per atom) = -0.22
data_PrSn2GeRu2
_chemical_formula_sum 'Pr1 Sn2 Ge1 Ru2'
_cell_length_a 4.6789
_cell_length_b 4.6789
_cell_length_c 6.0157
_cell_angle_alpha 90.00
_cell_angle_beta 90.00
_cell_angle_gamma 90.00
_symmetry_space_group_name_H-M 'P 4/m m m'
_symmetry_Int_Tables_number 123
_symmetry_space_group_name_Hall '-P 4 2'
loop_
_atom_site_label
_atom_site_type_symbol
_atom_site_fract_x
_atom_site_fract_y
_atom_site_fract_z
Pr1 Pr 0.0000 0.0000 0.0000
Sn1 Sn 0.5000 0.5000 0.2373
Ge1 Ge 0.0000 0.0000 0.5000
Ru1 Ru 0.0000 0.5000 0.5000

> Look up the density of states at the Fermi level of the fourth one.

0.95 states/eV/atom